A relaxed SmPu3 crystal, computed with PBE.

Polymorph energy (0 for the lowest one) ... 0 meV/atom
Formation energy ... 107 kJ/mol of formula units
Calculated volume ... 113.6 Å³/cell

```
4
Lattice="4.843 0.000 0.000 0.000 4.843 0.000 0.000 0.000 4.843" Properties=species:S:1:pos:R:3 pbc="T T T"
Sm 0.000 0.000 0.000
Pu 0.000 2.422 2.422
Pu 2.422 0.000 2.422
Pu 2.422 2.422 0.000
```